Computed, not measured: a geometry-optimized AcPmSm4Tm2 structure at the GGA-PBE level of DFT.

Calculated values
ΔE_f	0.04	eV/atom
space group	C2/m, No. 12
Fermi-level density of states	12.4	states/eV per cell
DFT total energy	-36.365	eV per cell

```
AcPmSm4Tm2
1.0
-4.0026 2.4500 2.1005
-4.2298 2.0790 -4.1925
-6.1417 -6.9469 2.6923
Ac Pm Sm Tm
1 1 4 2
direct
0.5000 0.5000 0.5000 Ac
0.0000 0.0000 0.0000 Pm
0.1226 0.1249 0.6300 Sm
0.3731 0.3757 0.8781 Sm
0.8774 0.8751 0.3700 Sm
0.6269 0.6243 0.1219 Sm
0.7438 0.7567 0.7556 Tm
0.2562 0.2433 0.2444 Tm
```